(1)
VASP calculation (GGA-PBE) on SrBF2 after structural relaxation.

```
data_SrBF2
_cell_length_a 3.9700
_cell_length_b 3.9700
_cell_length_c 18.4429
_cell_angle_alpha 90.00
_cell_angle_beta 90.00
_cell_angle_gamma 120.00
_symmetry_space_group_name_H-M 'R -3 m'
_symmetry_Int_Tables_number 166
_symmetry_space_group_name_Hall '-R 3 2"'
loop_
_atom_site_label
_atom_site_type_symbol
_atom_site_fract_x
_atom_site_fract_y
_atom_site_fract_z
_atom_site_occupancy
Sr1 Sr 0.0000 0.0000 0.0000 1
B1 B 0.0000 0.0000 0.5000 1
F1 F 0.0000 0.0000 0.3801 1
```



(2)
VASP calculation (GGA-PBE) on SrB3F after structural relaxation.

```
data_SrB3F
_cell_length_a 4.2660
_cell_length_b 4.2660
_cell_length_c 4.2660
_cell_angle_alpha 90.00
_cell_angle_beta 90.00
_cell_angle_gamma 90.00
_symmetry_space_group_name_H-M 'P m -3 m'
_symmetry_Int_Tables_number 221
_symmetry_space_group_name_Hall '-P 4 2 3'
loop_
_atom_site_label
_atom_site_type_symbol
_atom_site_fract_x
_atom_site_fract_y
_atom_site_fract_z
_atom_site_occupancy
Sr1 Sr 0.0000 0.0000 0.0000 1
B1 B 0.0000 0.5000 0.5000 1
F1 F 0.5000 0.5000 0.5000 1
```



Summary of magnetic moment in Bohr magnetons per cell
0.93; 0.00
(order as listed above)
Summary of offset from the most stable computed form in meV/atom
0; 0
(order as listed above)
Summary of energy relative to the elements, uncorrected in eV per atom
-1.477; 1.464
(order as listed above)